No. 1
The following is a SCAN calculation of a crystal of Nd5Co2 relaxed with PBEsol, from Alexandria via LeMat-Bulk.

Lattice parameters (Å, degrees): 6.369 6.943 8.782 95.86 111.26 90.00
Element x y z (fractional)
Nd 0.783 0.819 0.428
Co 0.596 0.425 0.781
Nd 0.200 0.915 0.189
Co 0.185 0.925 0.781
Nd 0.217 0.181 0.572
Co 0.404 0.575 0.219
Nd 0.800 0.085 0.811
Nd 0.430 0.250 0.000
Nd 0.988 0.415 0.189
Co 0.815 0.075 0.219
Nd 0.645 0.319 0.428
Nd 0.355 0.681 0.572
Nd 0.570 0.750 0.000
Nd 0.012 0.585 0.811

Results
The total magnetic moment comes out at 0.00 μB per formula unit. Its total energy is -36.076 eV/atom.


No. 2
The following is a SCAN calculation of a crystal of Cd2AsIr relaxed with PBEsol, from Alexandria via LeMat-Bulk.

Lattice parameters (Å, degrees): 2.955 4.580 6.427 110.99 103.29 90.00
Element x y z (fractional)
Ir 0.519 0.520 0.038
As 0.186 0.686 0.373
Cd 0.808 0.308 0.617
Cd 0.986 0.986 0.972

Results
The total magnetic moment comes out at 0.00 μB per formula unit. Its total energy is -38.075 eV/atom.


No. 3
The following is a SCAN calculation of a crystal of LiFeF4 relaxed with PBEsol, from Alexandria via LeMat-Bulk.

Lattice parameters (Å, degrees): 5.556 5.556 5.556 105.85 111.31 111.31
Site moments in Bohr magnetons follow the coordinates.
Element x y z (fractional)
Li 0.500 0.250 0.750  0.00
Li 0.000 0.500 0.500  0.00
F 0.204 0.510 0.306  0.15
F 0.204 0.694 0.897  0.15
F 0.296 0.240 0.944  0.15
F 0.296 0.056 0.353  0.15
Fe 0.000 0.000 0.000  4.31
F 0.796 0.694 0.490  0.15
F 0.704 0.056 0.760  0.15
Fe 0.500 0.750 0.250  4.31
F 0.796 0.103 0.306  0.15
F 0.704 0.647 0.944  0.15

Results
Its formation energy (no corrections) is -15.98 eV per formula unit. As for the polymorph energy (0 for the lowest one): 13 meV/atom. The total magnetic moment comes out at 5.00 μB per formula unit. Its total energy is -8.444 eV/atom.


No. 4
The following is a SCAN calculation of a crystal of TcHgSeBr2 relaxed with PBEsol, from Alexandria via LeMat-Bulk.

Lattice parameters (Å, degrees): 4.691 5.131 5.131 90.00 90.00 90.00
Site moments in Bohr magnetons follow the coordinates.
Element x y z (fractional)
Br 0.000 0.500 0.000  0.05
Hg 0.500 0.500 0.500  -0.05
Se 0.500 0.000 0.000  -0.08
Tc 0.000 0.000 0.000  1.65
Br 0.000 0.000 0.500  0.05

Results
Its formation energy (no corrections) is 0.32 eV per formula unit. As for the polymorph energy (0 for the lowest one): 0 meV/atom. The total magnetic moment comes out at 1.70 μB per formula unit. Its total energy is -32.381 eV/atom.


| no. | D(E_F) (states/eV per cell) |
| --- | --- |
| 1 | 13.9 |
| 2 | 1.9 |
| 3 | 0.0 |
| 4 | 2.9 |